Entry 1:
A plane-wave DFT calculation with GGA-PBE was carried out for a relaxed NbSiAg2 crystal.

abc: 3.7345 3.7345 10.7695
angles: 80.02 80.02 90.00
Last column: nearest neighbours and their distance in Å.
Positions (direct):
Nb 0.0000 0.0000 0.0000  4 Si 2.64, 4 Ag 2.93
Nb 0.7500 0.2500 0.5000  4 Si 2.64, 4 Ag 2.93
Si 0.5000 0.5000 0.0000  4 Nb 2.64, 4 Ag 2.92
Si 0.2500 0.7500 0.5000  4 Nb 2.64, 4 Ag 2.92
Ag 0.6215 0.1250 0.2500  4 Ag 2.62-2.66, 2 Si 2.92, 2 Nb 2.93
Ag 0.1285 0.6250 0.2500  4 Ag 2.62-2.66, 2 Si 2.92, 2 Nb 2.93
Ag 0.3750 0.3785 0.7500  4 Ag 2.62-2.66, 2 Si 2.92, 2 Nb 2.93
Ag 0.8750 0.8715 0.7500  4 Ag 2.62-2.66, 2 Si 2.92, 2 Nb 2.93

Summary:
- symmetry = I-42d, No. 122
- uncorrected formation energy (eV/atom) = 0.245

Entry 2:
A plane-wave DFT calculation with GGA-PBE was carried out for a relaxed Ac3MgTc crystal.

abc: 5.7222 5.7222 5.7222
angles: 90.00 90.00 90.00
Last column: nearest neighbours and their distance in Å.
Positions (direct):
Mg 0.5000 0.5000 0.5000  12 Ac 4.05
Ac 0.0000 0.5000 0.0000  2 Tc 2.86
Ac 0.0000 0.0000 0.5000  2 Tc 2.86
Ac 0.5000 0.0000 0.0000  2 Tc 2.86
Tc 0.0000 0.0000 0.0000  6 Ac 2.86

Summary:
- symmetry = Pm-3m, No. 221
- ΔE_f (eV/atom) = 0.081

Entry 3:
A plane-wave DFT calculation with GGA-PBE was carried out for a relaxed La2PuCo crystal.

abc: 3.7247 3.7247 10.4791
angles: 79.76 79.76 60.00
Last column: nearest neighbours and their distance in Å.
Positions (direct):
La 0.1121 0.1121 0.6636  3 Co 2.73
La 0.8879 0.8879 0.3364  3 Co 2.73
Co 0.5000 0.5000 0.5000  6 La 2.73
Pu 0.0000 0.0000 0.0000  2 La 3.45, 6 Pu 3.72

Summary:
- symmetry = R-3m, No. 166
- ΔE_f (eV/atom) = 0.268

Entry 4:
A plane-wave DFT calculation with GGA-PBE was carried out for a relaxed CaGaSn2 crystal.

abc: 3.6119 3.6119 10.7086
angles: 80.29 80.29 60.00
Last column: nearest neighbours and their distance in Å.
Positions (direct):
Ca 0.0000 0.0000 0.0000  2 Sn 3.15
Sn 0.0998 0.0998 0.7005  3 Ga 2.96, 1 Ca 3.15
Sn 0.9002 0.9002 0.2995  3 Ga 2.96, 1 Ca 3.15
Ga 0.5000 0.5000 0.5000  6 Sn 2.96

Summary:
- symmetry = R-3m, No. 166
- ΔE_f (eV/atom) = 0.077

Entry 5:
A plane-wave DFT calculation with GGA-PBE was carried out for a relaxed TiCdIr3 crystal.

abc: 4.7687 4.7687 4.7687
angles: 90.00 90.00 90.00
Last column: nearest neighbours and their distance in Å.
Positions (direct):
Ir 0.0000 0.5000 0.0000  2 Cd 2.38
Ir 0.0000 0.0000 0.5000  2 Cd 2.38
Ir 0.5000 0.0000 0.0000  2 Cd 2.38
Ti 0.5000 0.5000 0.5000  12 Ir 3.37
Cd 0.0000 0.0000 0.0000  6 Ir 2.38

Summary:
- symmetry = Pm-3m, No. 221
- ΔE_f (eV/atom) = 1.990

Entry 6:
A plane-wave DFT calculation with GGA-PBE was carried out for a relaxed MgSiSe2 crystal.

abc: 3.4955 3.6316 6.9386
angles: 79.87 90.00 90.00
Last column: nearest neighbours and their distance in Å.
Positions (direct):
Mg 0.5000 0.7500 0.7500  4 Se 2.75
Se 0.0000 0.2789 0.9810  2 Si 2.55, 2 Mg 2.75
Se 0.0000 0.2211 0.5190  2 Si 2.55, 2 Mg 2.75
Si 0.5000 0.2500 0.2500  4 Se 2.55

Summary:
- symmetry = P2/m, No. 10
- uncorrected formation energy (eV/atom) = -0.267

no.,calculated total energy (eV/atom)
1,-5.05
2,-4.78
3,-7.55
4,-3.18
5,-5.09
6,-3.76